First-principles (PBE-GGA) data for a geometry-optimized LiCa2Tl3 structure, as listed in Alexandria.

Theoretical density   7.10 g/cm3
Spin magnetization   0.000 μB per atom
E_tot   -29.8 eV/cell
SG   Fmmm, No. 69
N(E_F)   0.4991 states/eV per atom
Formation energy   -1.9 eV per formula unit
Energy relative to the lowest polymorph listed for this composition   30 meV per atom

abc: 10.1419 9.5100 6.2729
angles: 76.95 65.99 37.05
Sites, in units of the cell vectors:
Li  0.1666  0.1666  0.8334
Li  0.8334  0.8334  0.1666
Ca  0.2500  0.2500  0.2500
Ca  0.2558  0.7442  0.7442
Ca  0.7442  0.2558  0.2558
Ca  0.7500  0.7500  0.7500
Tl  0.1494  0.6745  0.3255
Tl  0.3244  0.3244  0.6756
Tl  0.3255  0.8506  0.1494
Tl  0.6745  0.1494  0.8506
Tl  0.6756  0.6756  0.3244
Tl  0.8506  0.3255  0.6745


First-principles (PBE-GGA) data for a geometry-optimized Ca4GePb2 structure, as listed in Alexandria.

Theoretical density   4.33 g/cm3
Spin magnetization   0.000 μB per atom
E_tot   -22.1 eV/cell
SG   I4/mmm, No. 139
N(E_F)   1.2237 states/eV per atom
Formation energy   -2.0 eV per formula unit

abc: 8.7897 8.7897 8.7897
angles: 142.63 142.63 53.88
Sites, in units of the cell vectors:
Ca  0.0000  0.5000  0.5000
Ca  0.1823  0.1823  0.0000
Ca  0.5000  0.0000  0.5000
Ca  0.8177  0.8177  0.0000
Ge  0.0000  0.0000  0.0000
Pb  0.3845  0.3845  0.0000
Pb  0.6155  0.6155  0.0000


First-principles (PBE-GGA) data for a geometry-optimized NaCa3Pt structure, as listed in Alexandria.

Theoretical density   3.30 g/cm3
Spin magnetization   0.000 μB per atom
E_tot   -30.2 eV/cell
SG   P2_1/m, No. 11
N(E_F)   0.6082 states/eV per atom
Formation energy   -1.7 eV per formula unit
Energy relative to the lowest polymorph listed for this composition   119 meV per atom

abc: 5.9945 7.7259 7.4928
angles: 90.00 101.00 90.00
Sites, in units of the cell vectors:
Na  0.0995  0.2500  0.4158
Na  0.9005  0.7500  0.5842
Ca  0.0337  0.7500  0.0872
Ca  0.4453  0.5094  0.7351
Ca  0.4453  0.9906  0.7351
Ca  0.5547  0.0094  0.2649
Ca  0.5547  0.4906  0.2649
Ca  0.9663  0.2500  0.9128
Pt  0.3277  0.7500  0.4347
Pt  0.6723  0.2500  0.5653


First-principles (PBE-GGA) data for a geometry-optimized Nb2CdPd3 structure, as listed in Alexandria.

Theoretical density   10.18 g/cm3
Spin magnetization   0.000 μB per atom
E_tot   -38.7 eV/cell
SG   P4/mmm, No. 123
N(E_F)   0.4083 states/eV per atom
Formation energy   -2.1 eV per formula unit

abc: 2.8756 2.8756 12.1844
angles: 90.00 90.00 90.00
Sites, in units of the cell vectors:
Nb  0.0000  0.0000  0.1667
Nb  0.0000  0.0000  0.8333
Cd  0.0000  0.0000  0.5000
Pd  0.5000  0.5000  0.0000
Pd  0.5000  0.5000  0.3280
Pd  0.5000  0.5000  0.6720


First-principles (PBE-GGA) data for a geometry-optimized GeAu2C2 structure, as listed in Alexandria.

Theoretical density   11.37 g/cm3
Spin magnetization   0.000 μB per atom
E_tot   -39.6 eV/cell
SG   P4/mbm, No. 127
N(E_F)   0.5295 states/eV per atom
Formation energy   9.8 eV per formula unit
Energy relative to the lowest polymorph listed for this composition   175 meV per atom

abc: 7.1479 7.1479 2.8046
angles: 90.00 90.00 90.00
Sites, in units of the cell vectors:
Ge  0.0000  0.0000  0.0000
Ge  0.5000  0.5000  0.0000
Au  0.1512  0.3488  0.0000
Au  0.3488  0.8488  0.0000
Au  0.6512  0.1512  0.0000
Au  0.8488  0.6512  0.0000
C  0.1411  0.6411  0.5000
C  0.3589  0.1411  0.5000
C  0.6411  0.8589  0.5000
C  0.8589  0.3589  0.5000


First-principles (PBE-GGA) data for a geometry-optimized KMg structure, as listed in Alexandria.

Theoretical density   1.25 g/cm3
Spin magnetization   0.000 μB per atom
E_tot   -3.9 eV/cell
SG   P6_3mc, No. 186
N(E_F)   0.7429 states/eV per atom
Formation energy   0.7 eV per formula unit

abc: 3.7719 3.7719 13.6361
angles: 90.00 90.00 120.00
Sites, in units of the cell vectors:
K  0.3333  0.6667  0.0000
K  0.6667  0.3333  0.5000
Mg  0.3333  0.6667  0.2662
Mg  0.6667  0.3333  0.7662


First-principles (PBE-GGA) data for a geometry-optimized LiFeSi2 structure, as listed in Alexandria.

Theoretical density   3.82 g/cm3
Spin magnetization   0.128 μB per atom
E_tot   -21.8 eV/cell
Raw formation energy   -0.15 eV/atom
SG   C2/m, No. 12
N(E_F)   0.5292 states/eV per atom
Energy relative to the lowest polymorph listed for this composition   103 meV per atom

abc: 4.0667 4.0667 5.0050
angles: 98.36 98.36 39.18
Sites, in units of the cell vectors:
Li  0.0000  0.0000  0.0000
Fe  0.5000  0.5000  0.5000
Si  0.2344  0.2344  0.7038
Si  0.7656  0.7656  0.2962


First-principles (PBE-GGA) data for a geometry-optimized Y4Tl3Cd structure, as listed in Alexandria.

Theoretical density   8.27 g/cm3
Spin magnetization   0.000 μB per atom
E_tot   -36.9 eV/cell
SG   I4/mmm, No. 139
N(E_F)   0.9938 states/eV per atom
Formation energy   -3.0 eV per formula unit

abc: 8.4791 8.4791 8.4791
angles: 143.24 143.24 52.96
Sites, in units of the cell vectors:
Y  0.1240  0.6240  0.5000
Y  0.3760  0.8760  0.5000
Y  0.6240  0.1240  0.5000
Y  0.8760  0.3760  0.5000
Tl  0.0000  0.0000  0.0000
Tl  0.2530  0.2530  0.0000
Tl  0.7470  0.7470  0.0000
Cd  0.5000  0.5000  0.0000


First-principles (PBE-GGA) data for a geometry-optimized Ba6Tl3Ga structure, as listed in Alexandria.

Theoretical density   6.04 g/cm3
Spin magnetization   0.000 μB per atom
E_tot   -49.4 eV/cell
SG   P2_1/m, No. 11
N(E_F)   0.8368 states/eV per atom
Formation energy   -3.1 eV per formula unit
Energy relative to the lowest polymorph listed for this composition   0 meV per atom

abc: 10.6378 6.0382 13.7879
angles: 90.00 110.64 90.00
Sites, in units of the cell vectors:
Ba  0.0211  0.2500  0.4124
Ba  0.1614  0.7500  0.1619
Ba  0.2602  0.2500  0.9969
Ba  0.3537  0.7500  0.8367
Ba  0.3761  0.2500  0.6416
Ba  0.3770  0.2500  0.3539
Ba  0.6230  0.7500  0.6461
Ba  0.6239  0.7500  0.3584
Ba  0.6463  0.2500  0.1633
Ba  0.7398  0.7500  0.0031
Ba  0.8386  0.2500  0.8381
Ba  0.9789  0.7500  0.5876
Tl  0.0236  0.7500  0.8636
Tl  0.0873  0.2500  0.7203
Tl  0.2670  0.7500  0.4669
Tl  0.7330  0.2500  0.5331
Tl  0.9127  0.7500  0.2797
Tl  0.9764  0.2500  0.1364
Ga  0.4518  0.7500  0.1059
Ga  0.5482  0.2500  0.8941